Below is a relaxed structure of Hg2Pd2Cl, with properties calculated at the PBE-GGA level.

Computed properties:
DOS at the Fermi energy = 0.28 states/eV/atom
energy relative to the elements, uncorrected = -87 meV per atom
space group = P4/mbm
E_tot = -26.54 eV for the cell shown

```
data_Hg2Pd2Cl
_space_group_name_H-M_alt 'P 1'
_space_group_IT_number 1
_space_group_name_Hall 'P 1'
_cell_length_a 7.690
_cell_length_b 7.690
_cell_length_c 3.374
_cell_angle_alpha 90.00
_cell_angle_beta 90.00
_cell_angle_gamma 90.00
loop_
_atom_site_label
_atom_site_type_symbol
_atom_site_fract_x
_atom_site_fract_y
_atom_site_fract_z
_atom_site_occupancy
Hg1 Hg 0.165 0.335 0.000 1
Hg2 Hg 0.335 0.835 0.000 1
Hg3 Hg 0.665 0.165 0.000 1
Hg4 Hg 0.835 0.665 0.000 1
Pd1 Pd 0.131 0.631 0.500 1
Pd2 Pd 0.369 0.131 0.500 1
Pd3 Pd 0.631 0.869 0.500 1
Pd4 Pd 0.869 0.369 0.500 1
Cl1 Cl 0.000 0.000 0.500 1
Cl2 Cl 0.500 0.500 0.500 1
```


Below is a relaxed structure of TcSbW, with properties calculated at the PBE-GGA level.

Computed properties:
DOS at the Fermi energy = 0.44 states/eV/atom
energy relative to the elements, uncorrected = 422 meV per atom
space group = P-6m2
E_tot = -26.18 eV for the cell shown

```
data_TcSbW
_space_group_name_H-M_alt 'P 1'
_space_group_IT_number 1
_space_group_name_Hall 'P 1'
_cell_length_a 4.470
_cell_length_b 4.470
_cell_length_c 2.981
_cell_angle_alpha 90.00
_cell_angle_beta 90.00
_cell_angle_gamma 120.00
loop_
_atom_site_label
_atom_site_type_symbol
_atom_site_fract_x
_atom_site_fract_y
_atom_site_fract_z
_atom_site_occupancy
Tc1 Tc 0.000 0.000 0.000 1
Sb1 Sb 0.667 0.333 0.000 1
W1 W 0.333 0.667 0.500 1
```


Below is a relaxed structure of Li2Np3US6, with properties calculated at the PBE-GGA level.

Computed properties:
DOS at the Fermi energy = 2.40 states/eV/atom
energy relative to the elements, uncorrected = -1362 meV per atom
space group = C2/m
E_tot = -95.04 eV for the cell shown

```
data_Li2Np3US6
_space_group_name_H-M_alt 'P 1'
_space_group_IT_number 1
_space_group_name_Hall 'P 1'
_cell_length_a 8.617
_cell_length_b 8.617
_cell_length_c 7.746
_cell_angle_alpha 101.60
_cell_angle_beta 101.60
_cell_angle_gamma 26.12
loop_
_atom_site_label
_atom_site_type_symbol
_atom_site_fract_x
_atom_site_fract_y
_atom_site_fract_z
_atom_site_occupancy
Li1 Li 0.174 0.174 0.351 1
Li2 Li 0.826 0.826 0.649 1
Np1 Np 0.167 0.167 0.832 1
Np2 Np 0.500 0.500 0.500 1
Np3 Np 0.833 0.833 0.168 1
U1 U 0.500 0.500 0.000 1
S1 S 0.003 0.003 0.253 1
S2 S 0.332 0.332 0.418 1
S3 S 0.333 0.333 0.911 1
S4 S 0.667 0.667 0.089 1
S5 S 0.668 0.668 0.582 1
S6 S 0.997 0.997 0.747 1
```


Q: Which formula does entry 3 have?
A: Li2Np3US6